Entry 1:
Compound: ErPdRh
Source: the Alexandria database
Functional: PBE
Structure: optimized geometry

Values from the calculation:
Relative energy among the computed polymorphs in kJ per mole of atoms: 2.8
VASP energy in eV per atom: -6.30
DOS(E_F) in states/eV per atom: 0.708
Formation energy from the elements in eV/f.u.: -1.80

a b c (Å): 5.2320 5.2320 5.2320
angles (deg): 141.61 141.61 55.41
With the nearest neighbours (Å) after each atom.
Atoms (fractional coordinates):
Er (0.0000, 0.0000, 0.0000)  5 Rh 2.85-3.15, 5 Pd 2.91-3.04
Pd (0.6719, 0.6719, 0.0000)  5 Rh 2.89-3.08, 5 Er 2.91-3.04
Rh (0.3398, 0.3398, 0.0000)  5 Er 2.85-3.15, 5 Pd 2.89-3.08

***

Entry 2:
Compound: Er4PdRh
Source: the Alexandria database
Functional: PBE
Structure: optimized geometry

Values from the calculation:
Relative energy among the computed polymorphs in kJ per mole of atoms: 0.0
VASP energy in eV per atom: -5.79
DOS(E_F) in states/eV per atom: 0.992
Formation energy from the elements in eV/f.u.: -3.94

a b c (Å): 9.3216 9.3216 9.3216
angles (deg): 60.00 60.00 60.00
With the nearest neighbours (Å) after each atom.
Atoms (fractional coordinates):
Er (0.1862, 0.1862, 0.8138)  2 Pd 3.03, 2 Rh 3.38, 2 Er 3.38
Er (0.1862, 0.8138, 0.1862)  2 Pd 3.03, 2 Rh 3.38, 2 Er 3.38
Er (0.1862, 0.8138, 0.8138)  2 Pd 3.03, 2 Rh 3.38, 2 Er 3.38
Er (0.3899, 0.3899, 0.3899)  3 Rh 2.83, 3 Pd 3.16
Er (0.3899, 0.3899, 0.8302)  3 Rh 2.83, 3 Pd 3.16
Er (0.3899, 0.8302, 0.3899)  3 Rh 2.83, 3 Pd 3.16
Er (0.5607, 0.5607, 0.9393)  2 Rh 2.78
Er (0.5607, 0.9393, 0.5607)  2 Rh 2.78
Er (0.5607, 0.9393, 0.9393)  2 Rh 2.78
Er (0.8138, 0.1862, 0.1862)  2 Pd 3.03, 2 Rh 3.38, 2 Er 3.38
Er (0.8138, 0.1862, 0.8138)  2 Pd 3.03, 2 Rh 3.38, 2 Er 3.38
Er (0.8138, 0.8138, 0.1862)  2 Pd 3.03, 2 Rh 3.38, 2 Er 3.38
Er (0.8302, 0.3899, 0.3899)  3 Rh 2.83, 3 Pd 3.16
Er (0.9393, 0.5607, 0.5607)  2 Rh 2.78
Er (0.9393, 0.5607, 0.9393)  2 Rh 2.78
Er (0.9393, 0.9393, 0.5607)  2 Rh 2.78
Pd (0.1615, 0.1615, 0.1615)  9 Er 3.03-3.36, 3 Pd 3.30
Pd (0.1615, 0.1615, 0.5156)  9 Er 3.03-3.36, 3 Pd 3.30
Pd (0.1615, 0.5156, 0.1615)  9 Er 3.03-3.36, 3 Pd 3.30
Pd (0.5156, 0.1615, 0.1615)  9 Er 3.03-3.36, 3 Pd 3.30
Rh (0.1870, 0.6043, 0.6043)  6 Er 2.78-2.83
Rh (0.6043, 0.1870, 0.6043)  6 Er 2.78-2.83
Rh (0.6043, 0.6043, 0.1870)  6 Er 2.78-2.83
Rh (0.6043, 0.6043, 0.6043)  6 Er 2.78-2.83

***

Entry 3:
Compound: Er5Pd2Rh2
Source: the Alexandria database
Functional: PBE
Structure: optimized geometry

Values from the calculation:
VASP energy in eV per atom: -6.16
DOS(E_F) in states/eV per atom: 0.519
Formation energy from the elements in eV/f.u.: -7.54

a b c (Å): 8.2130 8.2130 7.4524
angles (deg): 90.00 90.00 53.61
With the nearest neighbours (Å) after each atom.
Atoms (fractional coordinates):
Er (0.0000, 0.0000, 0.0000)  4 Rh 2.89-2.91, 2 Pd 3.02
Er (0.0379, 0.6946, 0.6683)  3 Rh 2.85-3.00, 3 Pd 2.93-2.97
Er (0.1946, 0.5379, 0.1683)  3 Rh 2.85-3.00, 3 Pd 2.93-2.97
Er (0.3054, 0.9621, 0.6683)  3 Rh 2.85-3.00, 3 Pd 2.93-2.97
Er (0.4621, 0.8054, 0.1683)  3 Rh 2.85-3.00, 3 Pd 2.93-2.97
Er (0.5000, 0.5000, 0.5000)  4 Rh 2.89-2.91, 2 Pd 3.02
Er (0.5379, 0.1946, 0.8317)  3 Rh 2.85-3.00, 3 Pd 2.93-2.97
Er (0.6946, 0.0379, 0.3317)  3 Rh 2.85-3.00, 3 Pd 2.93-2.97
Er (0.8054, 0.4621, 0.8317)  3 Rh 2.85-3.00, 3 Pd 2.93-2.97
Er (0.9621, 0.3054, 0.3317)  3 Rh 2.85-3.00, 3 Pd 2.93-2.97
Pd (0.2057, 0.2057, 0.0000)  7 Er 2.93-3.02
Pd (0.2943, 0.2943, 0.5000)  7 Er 2.93-3.02
Pd (0.7057, 0.7057, 0.5000)  7 Er 2.93-3.02
Pd (0.7943, 0.7943, 0.0000)  7 Er 2.93-3.02
Rh (0.1334, 0.8666, 0.3670)  1 Rh 2.80, 8 Er 2.85-3.00
Rh (0.3666, 0.6334, 0.8670)  1 Rh 2.80, 8 Er 2.85-3.00
Rh (0.6334, 0.3666, 0.1330)  1 Rh 2.80, 8 Er 2.85-3.00
Rh (0.8666, 0.1334, 0.6330)  1 Rh 2.80, 8 Er 2.85-3.00

***

Entry 4:
Compound: Er2Pd5Rh
Source: the Alexandria database
Functional: PBE
Structure: optimized geometry

Values from the calculation:
VASP energy in eV per atom: -6.11
DOS(E_F) in states/eV per atom: 1.125
Formation energy from the elements in eV/f.u.: -6.47

a b c (Å): 5.8045 11.6183 4.0547
angles (deg): 90.00 90.00 90.00
With the nearest neighbours (Å) after each atom.
Atoms (fractional coordinates):
Er (0.2473, 0.1229, 0.0000)  2 Rh 2.87, 10 Pd 2.87-2.94
Er (0.2527, 0.6229, 0.0000)  2 Rh 2.87, 10 Pd 2.87-2.94
Er (0.7473, 0.3771, 0.0000)  2 Rh 2.87, 10 Pd 2.87-2.94
Er (0.7527, 0.8771, 0.0000)  2 Rh 2.87, 10 Pd 2.87-2.94
Pd (0.0000, 0.5000, 0.5000)  4 Er 2.88, 6 Pd 2.89-2.90, 2 Rh 2.90
Pd (0.0032, 0.2506, 0.5000)  7 Pd 2.88-2.90, 4 Er 2.88-2.91, 1 Rh 2.91
Pd (0.2472, 0.8755, 0.0000)  4 Er 2.87-2.94, 2 Rh 2.87, 6 Pd 2.88-2.89
Pd (0.2528, 0.3755, 0.0000)  4 Er 2.87-2.94, 2 Rh 2.87, 6 Pd 2.88-2.89
Pd (0.4968, 0.7506, 0.5000)  7 Pd 2.88-2.90, 4 Er 2.88-2.91, 1 Rh 2.91
Pd (0.5000, 0.0000, 0.5000)  4 Er 2.88, 6 Pd 2.89-2.90, 2 Rh 2.90
Pd (0.5032, 0.2494, 0.5000)  7 Pd 2.88-2.90, 4 Er 2.88-2.91, 1 Rh 2.91
Pd (0.7472, 0.6245, 0.0000)  4 Er 2.87-2.94, 2 Rh 2.87, 6 Pd 2.88-2.89
Pd (0.7528, 0.1245, 0.0000)  4 Er 2.87-2.94, 2 Rh 2.87, 6 Pd 2.88-2.89
Pd (0.9968, 0.7494, 0.5000)  7 Pd 2.88-2.90, 4 Er 2.88-2.91, 1 Rh 2.91
Rh (0.0000, 0.0000, 0.5000)  4 Er 2.87, 8 Pd 2.87-2.91
Rh (0.5000, 0.5000, 0.5000)  4 Er 2.87, 8 Pd 2.87-2.91

***

Entry 5:
Compound: ErPd2Rh
Source: the Alexandria database
Functional: PBE
Structure: optimized geometry

Values from the calculation:
VASP energy in eV per atom: -6.14
DOS(E_F) in states/eV per atom: 0.470
Formation energy from the elements in eV/f.u.: -2.28

a b c (Å): 4.6164 4.6164 4.6164
angles (deg): 60.00 60.00 60.00
With the nearest neighbours (Å) after each atom.
Atoms (fractional coordinates):
Er (0.0000, 0.0000, 0.0000)  8 Pd 2.83
Pd (0.2500, 0.2500, 0.2500)  4 Er 2.83, 4 Rh 2.83
Pd (0.7500, 0.7500, 0.7500)  4 Er 2.83, 4 Rh 2.83
Rh (0.5000, 0.5000, 0.5000)  8 Pd 2.83

***

Entry 6:
Compound: Er5Pd4Rh
Source: the Alexandria database
Functional: PBE
Structure: optimized geometry

Values from the calculation:
VASP energy in eV per atom: -6.02
DOS(E_F) in states/eV per atom: 0.651
Formation energy from the elements in eV/f.u.: -9.24

a b c (Å): 3.4272 3.4272 17.6461
angles (deg): 90.00 90.00 90.00
With the nearest neighbours (Å) after each atom.
Atoms (fractional coordinates):
Er (0.0000, 0.0000, 0.0000)  8 Pd 3.01
Er (0.0000, 0.0000, 0.2021)  8 Pd 2.99-3.01
Er (0.0000, 0.0000, 0.4054)  4 Rh 2.94, 4 Pd 3.04
Er (0.0000, 0.0000, 0.5946)  4 Rh 2.94, 4 Pd 3.04
Er (0.0000, 0.0000, 0.7979)  8 Pd 2.99-3.01
Pd (0.5000, 0.5000, 0.1009)  8 Er 3.01
Pd (0.5000, 0.5000, 0.3016)  8 Er 2.99-3.04
Pd (0.5000, 0.5000, 0.6984)  8 Er 2.99-3.04
Pd (0.5000, 0.5000, 0.8991)  8 Er 3.01
Rh (0.5000, 0.5000, 0.5000)  8 Er 2.94

***

Entry 7:
Compound: Er8Pd2Rh
Source: the Alexandria database
Functional: PBE
Structure: optimized geometry

Values from the calculation:
Relative energy among the computed polymorphs in kJ per mole of atoms: 9.0
VASP energy in eV per atom: -5.35
DOS(E_F) in states/eV per atom: 1.114
Formation energy from the elements in eV/f.u.: -4.56

a b c (Å): 7.7086 7.7086 5.8335
angles (deg): 100.83 100.83 116.22
With the nearest neighbours (Å) after each atom.
Atoms (fractional coordinates):
Er (0.0000, 0.0000, 0.0000)  1 Rh 2.86, 2 Pd 3.16
Er (0.0199, 0.2684, 0.5645)  2 Pd 2.79-2.86
Er (0.1510, 0.5654, 0.1758)  1 Rh 2.82, 1 Pd 3.16
Er (0.2684, 0.0199, 0.5645)  2 Pd 2.79-2.86
Er (0.4485, 0.6961, 0.7712)  2 Pd 2.77-2.83, 1 Rh 3.07
Er (0.5654, 0.1510, 0.1758)  1 Rh 2.82, 1 Pd 3.16
Er (0.6961, 0.4485, 0.7712)  2 Pd 2.77-2.83, 1 Rh 3.07
Er (0.7203, 0.7203, 0.3559)  1 Rh 2.84, 2 Pd 3.17
Pd (0.0601, 0.6641, 0.6804)  4 Er 2.77-2.86
Pd (0.6641, 0.0601, 0.6804)  4 Er 2.77-2.86
Rh (0.3618, 0.3618, 0.3127)  8 Er 2.82-3.13

***

Entry 8:
Compound: ErPdRh
Source: the Alexandria database
Functional: PBE
Structure: optimized geometry

Values from the calculation:
Relative energy among the computed polymorphs in kJ per mole of atoms: 16.1
VASP energy in eV per atom: -6.16
DOS(E_F) in states/eV per atom: 0.719
Formation energy from the elements in eV/f.u.: -1.39

a b c (Å): 10.0874 10.0874 10.0874
angles (deg): 159.96 159.96 28.49
With the nearest neighbours (Å) after each atom.
Atoms (fractional coordinates):
Er (0.1342, 0.1342, 0.0000)  4 Pd 2.82, 5 Rh 2.86-2.99
Er (0.8658, 0.8658, 0.0000)  4 Pd 2.82, 5 Rh 2.86-2.99
Pd (0.4338, 0.4338, 0.0000)  1 Pd 2.59, 4 Er 2.82
Pd (0.5662, 0.5662, 0.0000)  1 Pd 2.59, 4 Er 2.82
Rh (0.2806, 0.2806, 0.0000)  4 Rh 2.76, 5 Er 2.86-2.99, 1 Pd 2.99
Rh (0.7194, 0.7194, 0.0000)  4 Rh 2.76, 5 Er 2.86-2.99, 1 Pd 2.99

***

Entry 9:
Compound: Er2PdRh
Source: the Alexandria database
Functional: PBE
Structure: optimized geometry

Values from the calculation:
VASP energy in eV per atom: -6.36
DOS(E_F) in states/eV per atom: 0.413
Formation energy from the elements in eV/f.u.: -3.78

a b c (Å): 3.4294 3.4294 6.8943
angles (deg): 90.00 90.00 90.00
With the nearest neighbours (Å) after each atom.
Atoms (fractional coordinates):
Er (0.0000, 0.0000, 0.2411)  4 Rh 2.94, 4 Pd 3.01
Er (0.0000, 0.0000, 0.7589)  4 Rh 2.94, 4 Pd 3.01
Pd (0.5000, 0.5000, 0.5000)  8 Er 3.01
Rh (0.5000, 0.5000, 0.0000)  8 Er 2.94

***

Entry 10:
Compound: Er8PdRh2
Source: the Alexandria database
Functional: PBE
Structure: optimized geometry

Values from the calculation:
Relative energy among the computed polymorphs in kJ per mole of atoms: 5.3
VASP energy in eV per atom: -5.58
DOS(E_F) in states/eV per atom: 0.969
Formation energy from the elements in eV/f.u.: -4.98

a b c (Å): 7.5157 7.5157 5.8279
angles (deg): 99.81 99.81 113.06
With the nearest neighbours (Å) after each atom.
Atoms (fractional coordinates):
Er (0.0000, 0.0000, 0.0000)  2 Rh 3.01, 1 Pd 3.05
Er (0.0308, 0.2900, 0.5815)  2 Rh 2.77-2.79, 1 Pd 3.08
Er (0.1454, 0.5886, 0.1824)  1 Pd 2.89, 2 Rh 3.11-3.12
Er (0.2900, 0.0308, 0.5815)  2 Rh 2.77-2.79, 1 Pd 3.08
Er (0.4468, 0.7061, 0.7759)  2 Rh 2.75-2.78
Er (0.5886, 0.1454, 0.1824)  1 Pd 2.89, 2 Rh 3.11-3.12
Er (0.7061, 0.4468, 0.7759)  2 Rh 2.75-2.78
Er (0.7327, 0.7327, 0.3625)  1 Pd 2.96, 2 Rh 3.03
Pd (0.3680, 0.3680, 0.3215)  8 Er 2.89-3.13
Rh (0.0595, 0.6781, 0.6823)  6 Er 2.75-3.03
Rh (0.6781, 0.0595, 0.6823)  6 Er 2.75-3.03